(1)
This record from Alexandria via LeMat-Bulk describes CaGaNF2 after structural relaxation. The functional is GGA-PBE.

abc: 4.370 4.370 4.948
angles: 90.00 90.00 90.00
Each line ends with the local moment (μB).
Sites, in units of the cell vectors:
Ca: 0.000 0.000 0.000  0.00
N: 0.000 0.000 0.500  1.23
Ga: 0.500 0.500 0.500  0.05
F: 0.000 0.500 0.000  0.02
F: 0.500 0.000 0.000  0.02

Summary:
Space-group type: P4/mmm
Magnetization, μB/f.u.: 2.000
Energy relative to the elements, uncorrected, eV per atom: -1.250
DFT total energy, eV/atom: -4.67


(2)
This record from Alexandria via LeMat-Bulk describes NaCaGaF6 after structural relaxation. The functional is GGA-PBE.

abc: 5.651 5.651 9.324
angles: 90.00 90.00 120.00
Sites, in units of the cell vectors:
Na: 0.000 0.000 0.000
Na: 0.000 0.000 0.500
Ca: 0.333 0.667 0.250
Ca: 0.667 0.333 0.750
Ga: 0.667 0.333 0.250
Ga: 0.333 0.667 0.750
F: 0.664 0.618 0.136
F: 0.953 0.336 0.136
F: 0.336 0.953 0.636
F: 0.047 0.664 0.864
F: 0.382 0.336 0.364
F: 0.953 0.618 0.364
F: 0.618 0.953 0.864
F: 0.664 0.047 0.364
F: 0.047 0.382 0.636
F: 0.382 0.047 0.136
F: 0.618 0.664 0.636
F: 0.336 0.382 0.864

Summary:
Space-group type: P-31c
Magnetization, μB/f.u.: 0.000
Energy relative to the elements, uncorrected, eV per atom: -3.108
DFT total energy, eV/atom: -5.06


(3)
This record from Alexandria via LeMat-Bulk describes Na2CaGaF after structural relaxation. The functional is GGA-PBE.

abc: 4.873 4.873 4.670
angles: 90.00 90.00 90.00
Sites, in units of the cell vectors:
Na: 0.000 0.500 0.000
Na: 0.500 0.000 0.000
Ca: 0.000 0.000 0.500
Ga: 0.500 0.500 0.500
F: 0.000 0.000 0.000

Summary:
Space-group type: P4/mmm
Magnetization, μB/f.u.: 0.000
Energy relative to the elements, uncorrected, eV per atom: -1.126
DFT total energy, eV/atom: -3.03


(4)
This record from Alexandria via LeMat-Bulk describes NaCa2GaF8 after structural relaxation. The functional is GGA-PBE.

abc: 5.018 5.031 7.005
angles: 90.00 90.00 90.57
Each line ends with the local moment (μB).
Sites, in units of the cell vectors:
Na: 0.000 0.000 0.500  0.00
Ca: 0.500 0.500 0.752  0.00
Ca: 0.500 0.500 0.248  0.00
Ga: 0.000 0.000 0.000  0.00
F: 0.184 0.817 0.201  0.01
F: 0.721 0.722 0.000  0.00
F: 0.816 0.183 0.201  0.01
F: 0.816 0.183 0.799  0.01
F: 0.279 0.278 0.000  0.00
F: 0.184 0.817 0.799  0.01
F: 0.692 0.690 0.500  0.06
F: 0.308 0.310 0.500  0.06

Summary:
Space-group type: P2/m
Magnetization, μB/f.u.: 0.179
Energy relative to the elements, uncorrected, eV per atom: -3.311
DFT total energy, eV/atom: -5.25


(5)
This record from Alexandria via LeMat-Bulk describes NaCa2GaF after structural relaxation. The functional is GGA-PBE.

abc: 4.955 4.955 4.581
angles: 90.00 90.00 90.00
Sites, in units of the cell vectors:
Na: 0.000 0.000 0.500
Ca: 0.000 0.500 0.000
Ca: 0.500 0.000 0.000
Ga: 0.500 0.500 0.500
F: 0.000 0.000 0.000

Summary:
Space-group type: P4/mmm
Magnetization, μB/f.u.: 0.000
Energy relative to the elements, uncorrected, eV per atom: -1.225
DFT total energy, eV/atom: -3.27


(6)
This record from Alexandria via LeMat-Bulk describes Na2CaGaF8 after structural relaxation. The functional is GGA-PBE.

abc: 4.780 5.091 6.808
angles: 90.00 90.00 90.54
Each line ends with the local moment (μB).
Sites, in units of the cell vectors:
Na: 0.500 0.500 0.768  0.00
Na: 0.500 0.500 0.232  0.00
Ca: 0.000 0.000 0.500  0.00
Ga: 0.000 0.000 0.000  -0.01
F: 0.122 0.776 0.214  0.03
F: 0.662 0.796 0.000  0.16
F: 0.878 0.224 0.214  0.03
F: 0.878 0.224 0.786  0.03
F: 0.338 0.204 0.000  0.16
F: 0.122 0.776 0.786  0.03
F: 0.584 0.769 0.500  0.26
F: 0.416 0.231 0.500  0.26

Summary:
Space-group type: P2/m
Magnetization, μB/f.u.: 1.070
Energy relative to the elements, uncorrected, eV per atom: -2.746
DFT total energy, eV/atom: -4.63